# 1
{
  "formula": "Li2ZrPdN2O2",
  "functional": "PBE",
  "state": "relaxed",
  "m_tot_mub_per_cell": 0.01,
  "e_tot_ev_per_atom": -6.5477,
  "lattice_angstrom": [[-3.3580, -2.7304, 0.5371], [2.1694, -2.0414, 3.1853], [-1.6963, 2.6473, 2.8520]],
  "species": ["O", "N", "Zr", "O", "N", "Li", "Li", "Pd"],
  "frac_coords": [[0.5000, 0.5000, 0.5000], [0.0000, 0.5000, 0.0011], [0.0000, 0.0000, 0.0000], [0.0000, 0.0000, 0.5000], [0.5000, 0.0000, 0.9989], [0.5000, 0.0000, 0.4986], [0.0000, 0.5000, 0.5014], [0.5000, 0.5000, 0.0000]]
}


# 2
{
  "formula": "BaHfB4",
  "functional": "PBE",
  "state": "relaxed",
  "m_tot_mub_per_cell": 0.00,
  "e_tot_ev_per_atom": -6.7736,
  "lattice_angstrom": [[3.2196, 0.0000, 0.0000], [-1.6098, 2.7883, 0.0000], [0.0000, 0.0000, 8.3990]],
  "species": ["B", "B", "B", "Hf", "Ba", "B"],
  "frac_coords": [[0.6667, 0.3333, 0.1986], [0.3333, 0.6667, 0.1986], [0.6667, 0.3333, 0.8014], [0.0000, 0.0000, 0.0000], [0.0000, 0.0000, 0.5000], [0.3333, 0.6667, 0.8014]]
}


# 3
{
  "formula": "Dy2HoFe6Ni3",
  "functional": "PBE",
  "state": "relaxed",
  "m_tot_mub_per_cell": 13.17,
  "e_tot_ev_per_atom": -6.8475,
  "e_form_mev_per_atom": -152.9,
  "lattice_angstrom": [[2.4778, 1.4306, 8.2709], [-2.4778, 1.4306, 8.2709], [0.0000, -2.8611, 8.2709]],
  "species": ["Ni", "Fe", "Fe", "Fe", "Fe", "Dy", "Fe", "Ni", "Ni", "Dy", "Ho", "Fe"],
  "frac_coords": [[0.3332, 0.3332, 0.3332], [0.0804, 0.5821, 0.5821], [0.4179, 0.4179, 0.9196], [0.9196, 0.4179, 0.4179], [0.5821, 0.5821, 0.0804], [0.1412, 0.1412, 0.1412], [0.5821, 0.0804, 0.5821], [0.6668, 0.6668, 0.6668], [0.5000, 0.5000, 0.5000], [0.8588, 0.8588, 0.8588], [0.0000, 0.0000, 0.0000], [0.4179, 0.9196, 0.4179]]
}


# 4
{
  "formula": "BaLa2ZnO5",
  "functional": "PBE",
  "state": "relaxed",
  "m_tot_mub_per_cell": 0.00,
  "e_tot_ev_per_atom": -7.0009,
  "lattice_angstrom": [[-1.1674, 4.0819, 5.4051], [-5.5250, 2.5989, -3.1560], [-6.6167, -8.2427, 4.7957]],
  "species": ["La", "La", "O", "Zn", "O", "La", "Ba", "La", "O", "O", "O", "La", "O", "Ba", "La", "O", "Zn", "O", "O", "O", "Zn", "La", "O", "Ba", "O", "O", "La", "Zn", "Ba", "O", "O", "O", "O", "O", "O", "O"],
  "frac_coords": [[0.6744, 0.8256, 0.0000], [0.3256, 0.8256, 0.5000], [0.6467, 0.8532, 0.6332], [0.0000, 0.5000, 0.7500], [0.0000, 0.0000, 0.5000], [0.6744, 0.1744, 0.5000], [0.5000, 0.5000, 0.7500], [0.8256, 0.6744, 0.5000], [0.3533, 0.8532, 0.1332], [0.8532, 0.3533, 0.6332], [0.8532, 0.6467, 0.1332], [0.1744, 0.3256, 0.5000], [0.3533, 0.1468, 0.6332], [0.0000, 0.0000, 0.7500], [0.1744, 0.6744, 0.0000], [0.6467, 0.1468, 0.8668], [0.5000, 0.0000, 0.7500], [0.8532, 0.3533, 0.3668], [0.0000, 0.0000, 0.0000], [0.1468, 0.6467, 0.3668], [0.5000, 0.0000, 0.2500], [0.3256, 0.1744, 0.0000], [0.5000, 0.5000, 0.5000], [0.0000, 0.0000, 0.2500], [0.1468, 0.3533, 0.1332], [0.6467, 0.1468, 0.1332], [0.8256, 0.3256, 0.0000], [0.0000, 0.5000, 0.2500], [0.5000, 0.5000, 0.2500], [0.1468, 0.3533, 0.8668], [0.6467, 0.8532, 0.3668], [0.1468, 0.6467, 0.6332], [0.3533, 0.1468, 0.3668], [0.5000, 0.5000, 0.0000], [0.8532, 0.6467, 0.8668], [0.3533, 0.8532, 0.8668]]
}


# 5
{
  "formula": "HfTcAg2",
  "functional": "PBE",
  "state": "relaxed",
  "m_tot_mub_per_cell": 0.65,
  "e_tot_ev_per_atom": -6.2160,
  "e_form_mev_per_atom": 275.2,
  "lattice_angstrom": [[-0.3339, -1.4944, 4.3631], [0.9282, 2.8704, 3.5044], [-3.4232, 1.5230, 2.7099]],
  "species": ["Ag", "Hf", "Ag", "Tc"],
  "frac_coords": [[0.2500, 0.2500, 0.2500], [0.5000, 0.5000, 0.5000], [0.0000, 0.0000, 0.0000], [0.7500, 0.7500, 0.7500]]
}


# 6
{
  "formula": "PuTlZn",
  "functional": "PBE",
  "state": "relaxed",
  "m_tot_mub_per_cell": 5.36,
  "e_tot_ev_per_atom": -5.8652,
  "lattice_angstrom": [[0.0000, 3.3616, 3.3616], [3.3616, 0.0000, 3.3616], [3.3616, 3.3616, 0.0000]],
  "species": ["Tl", "Zn", "Pu"],
  "frac_coords": [[0.7500, 0.7500, 0.7500], [0.0000, 0.0000, 0.0000], [0.2500, 0.2500, 0.2500]]
}


# 7
{
  "formula": "LaTaH4",
  "functional": "PBE",
  "state": "relaxed",
  "m_tot_mub_per_cell": 0.03,
  "e_tot_ev_per_atom": -5.3570,
  "lattice_angstrom": [[3.2913, 0.0000, 0.0000], [0.0000, 3.2913, 0.0000], [0.0000, 0.0000, 5.6302]],
  "species": ["H", "H", "La", "H", "H", "Ta"],
  "frac_coords": [[0.0000, 0.5000, 0.3103], [0.5000, 0.0000, 0.6897], [0.0000, 0.0000, 0.0000], [0.0000, 0.5000, 0.6897], [0.5000, 0.0000, 0.3103], [0.5000, 0.5000, 0.5000]]
}


# 8
{
  "formula": "ErScGe",
  "functional": "PBE",
  "state": "relaxed",
  "m_tot_mub_per_cell": 0.20,
  "e_tot_ev_per_atom": -4.9614,
  "lattice_angstrom": [[-3.8721, 1.8361, 2.1535], [-3.7262, 1.4876, -2.6276], [-4.1109, -2.4696, 0.0546]],
  "species": ["Ge", "Er", "Sc"],
  "frac_coords": [[0.7500, 0.7500, 0.7500], [0.2500, 0.2500, 0.2500], [0.0000, 0.0000, 0.0000]]
}


# 9
{
  "formula": "AlZnTc2",
  "functional": "PBE",
  "state": "relaxed",
  "m_tot_mub_per_cell": 0.02,
  "e_tot_ev_per_atom": -6.5704,
  "lattice_angstrom": [[0.0000, 3.0494, 3.0494], [3.0494, 0.0000, 3.0494], [3.0494, 3.0494, 0.0000]],
  "species": ["Zn", "Tc", "Al", "Tc"],
  "frac_coords": [[0.2500, 0.2500, 0.2500], [0.0000, 0.0000, 0.0000], [0.5000, 0.5000, 0.5000], [0.7500, 0.7500, 0.7500]]
}


# 10
{
  "formula": "TmSiIr",
  "functional": "PBE",
  "state": "relaxed",
  "m_tot_mub_per_cell": 0.01,
  "e_tot_ev_per_atom": -6.8738,
  "lattice_angstrom": [[2.2099, 1.2759, 3.6087], [-2.2099, 1.2759, 3.6087], [0.0000, -2.5518, 3.6087]],
  "species": ["Ir", "Tm", "Si"],
  "frac_coords": [[0.0000, 0.0000, 0.0000], [0.2500, 0.2500, 0.2500], [0.7500, 0.7500, 0.7500]]
}


# 11
{
  "formula": "TaCoAsIr",
  "functional": "PBE",
  "state": "relaxed",
  "m_tot_mub_per_cell": 1.05,
  "e_tot_ev_per_atom": -8.1090,
  "lattice_angstrom": [[-3.6718, 0.3647, 2.3737], [-2.0508, 3.8679, 0.2882], [-3.8579, 0.5922, -2.0039]],
  "species": ["Co", "As", "Ta", "Ir"],
  "frac_coords": [[0.7500, 0.7500, 0.7500], [0.0000, 0.0000, 0.0000], [0.2500, 0.2500, 0.2500], [0.5000, 0.5000, 0.5000]]
}


# 12
{
  "formula": "HfOs2Au",
  "functional": "PBE",
  "state": "relaxed",
  "m_tot_mub_per_cell": 0.34,
  "e_tot_ev_per_atom": -8.6588,
  "e_form_mev_per_atom": 259.5,
  "lattice_angstrom": [[0.0000, 3.2181, 3.2181], [3.2181, 0.0000, 3.2181], [3.2181, 3.2181, 0.0000]],
  "species": ["Au", "Os", "Hf", "Os"],
  "frac_coords": [[0.5000, 0.5000, 0.5000], [0.0000, 0.0000, 0.0000], [0.7500, 0.7500, 0.7500], [0.2500, 0.2500, 0.2500]]
}